A geometry-optimized K2CuP structure. Source: Alexandria via LeMat-Bulk, functional PBE.

Summary:
- calculated formation energy (eV/f.u.) = -1.1
- VASP energy (eV per atom) = -3.20

a b c (Å): 5.931 5.931 5.931
angles (deg): 138.42 122.42 73.49
Fractional coordinates of all 4 atoms:
K 0.289 0.789 0.500
K 0.967 0.967 0.000
Cu 0.652 0.152 0.500
P 0.591 0.591 0.000

A geometry-optimized CsKB2H8 structure. Source: Alexandria via LeMat-Bulk, functional PBE.

Summary:
- VASP energy (eV per atom) = -3.92

a b c (Å): 4.819 4.819 8.272
angles (deg): 90.00 90.00 120.00
Fractional coordinates of all 12 atoms:
H 0.333 0.667 0.883
H 0.528 0.054 0.314
H 0.946 0.474 0.314
H 0.667 0.333 0.117
H 0.472 0.946 0.686
H 0.054 0.526 0.686
H 0.526 0.472 0.314
H 0.474 0.528 0.686
Cs 0.000 0.000 0.000
B 0.667 0.333 0.266
B 0.333 0.667 0.734
K 0.000 0.000 0.500

A geometry-optimized LaPbCl2 structure. Source: Alexandria via LeMat-Bulk, functional PBE.

Summary:
- ΔE_f (raw) (meV/atom) = -1350
- VASP energy (eV per atom) = -4.43
- ΔE to the lowest computed polymorph (meV per atom) = 7.1

a b c (Å): 10.405 10.405 10.405
angles (deg): 20.48 20.48 20.48
Fractional coordinates of all 4 atoms:
Cl 0.101 0.101 0.101
Cl 0.899 0.899 0.899
Pb 0.000 0.000 0.000
La 0.500 0.500 0.500

A geometry-optimized Tm2Fe15Si2 structure. Source: Alexandria via LeMat-Bulk, functional PBE.

Summary:
- ΔE_f (raw) (meV/atom) = -101
- VASP energy (eV per atom) = -7.82

a b c (Å): 8.280 8.280 8.326
angles (deg): 90.00 90.00 120.00
Fractional coordinates of all 38 atoms:
Fe 0.833 0.167 0.011
Fe 0.333 0.167 0.489
Fe 0.360 0.030 0.750
Fe 0.640 0.670 0.250
Fe 0.030 0.360 0.250
Fe 0.167 0.333 0.989
Fe 0.500 0.500 0.000
Fe 0.167 0.833 0.511
Fe 0.667 0.833 0.989
Fe 0.670 0.640 0.750
Fe 0.833 0.667 0.011
Fe 0.030 0.670 0.250
Fe 0.330 0.970 0.250
Fe 0.500 0.500 0.500
Fe 0.330 0.360 0.250
Fe 0.167 0.333 0.511
Fe 0.167 0.833 0.989
Fe 0.360 0.330 0.750
Fe 0.333 0.167 0.011
Fe 0.640 0.970 0.250
Fe 0.970 0.640 0.750
Fe 0.833 0.167 0.489
Fe 0.970 0.330 0.750
Fe 0.000 0.500 0.000
Fe 0.500 0.000 0.000
Fe 0.670 0.030 0.750
Fe 0.500 0.000 0.500
Fe 0.833 0.667 0.489
Fe 0.000 0.500 0.500
Fe 0.667 0.833 0.511
Tm 0.000 0.000 0.250
Tm 0.667 0.333 0.250
Tm 0.333 0.667 0.750
Tm 0.000 0.000 0.750
Si 0.667 0.333 0.602
Si 0.333 0.667 0.102
Si 0.667 0.333 0.898
Si 0.333 0.667 0.398

A geometry-optimized Ac2CeTl4 structure. Source: Alexandria via LeMat-Bulk, functional PBE.

Summary:
- calculated formation energy (eV/f.u.) = -1.7
- VASP energy (eV per atom) = -3.62

a b c (Å): 6.406 6.583 11.433
angles (deg): 90.00 109.05 90.00
Fractional coordinates of all 14 atoms:
Ac 0.711 0.750 0.583
Ac 0.289 0.250 0.417
Ac 0.350 0.250 0.008
Ac 0.650 0.750 0.992
Tl 0.311 0.003 0.715
Tl 0.689 0.503 0.285
Tl 0.689 0.997 0.285
Tl 0.311 0.497 0.715
Tl 0.857 0.250 0.545
Tl 0.921 0.250 0.114
Tl 0.143 0.750 0.455
Tl 0.079 0.750 0.886
Ce 0.212 0.750 0.192
Ce 0.788 0.250 0.808

A geometry-optimized AsP2Pd8 structure. Source: Alexandria via LeMat-Bulk, functional PBE.

Summary:
- calculated formation energy (eV/f.u.) = -4.5
- VASP energy (eV per atom) = -5.60
- ΔE to the lowest computed polymorph (meV per atom) = 0.0

a b c (Å): 4.055 6.006 7.599
angles (deg): 110.76 105.47 90.00
Fractional coordinates of all 11 atoms:
Pd 0.962 0.204 0.924
Pd 0.679 0.977 0.358
Pd 0.803 0.679 0.606
Pd 0.038 0.796 0.076
Pd 0.409 0.532 0.818
Pd 0.197 0.321 0.394
Pd 0.321 0.023 0.642
Pd 0.591 0.468 0.182
As 0.500 0.000 0.000
P 0.176 0.684 0.353
P 0.824 0.316 0.647